1.
# Ba3Zn2Pd3 | Alexandria via LeMat-Bulk | PBE | optimized geometry
# Formation energy: -0.494 eV per atom
# Calculated volume: 216 Å³/f.u.
# D(E_F): 6.28 states/eV per cell
# Total DFT energy (no corrections): -3.48 eV per atom
# Spin magnetization: 0.000 μB/cell
data_Ba3Zn2Pd3
_chemical_formula_sum 'Ba6 Zn4 Pd6'
_cell_length_a 4.638
_cell_length_b 6.377
_cell_length_c 15.717
_cell_angle_alpha 90.00
_cell_angle_beta 90.00
_cell_angle_gamma 111.32
_symmetry_space_group_name_H-M 'P 1'
_symmetry_Int_Tables_number 1
loop_
_symmetry_equiv_pos_as_xyz
'x,y,z'
loop_
_atom_site_label
_atom_site_type_symbol
_atom_site_fract_x
_atom_site_fract_y
_atom_site_fract_z
Ba1 Ba 0.087 0.174 0.893
Ba2 Ba 0.913 0.826 0.107
Ba3 Ba 0.087 0.174 0.607
Ba4 Ba 0.913 0.826 0.393
Ba5 Ba 0.371 0.742 0.750
Ba6 Ba 0.629 0.258 0.250
Pd1 Pd 0.688 0.377 0.750
Pd2 Pd 0.621 0.242 0.462
Pd3 Pd 0.379 0.758 0.538
Pd4 Pd 0.312 0.623 0.250
Pd5 Pd 0.379 0.758 0.962
Pd6 Pd 0.621 0.242 0.038
Zn1 Zn 0.789 0.578 0.587
Zn2 Zn 0.211 0.422 0.413
Zn3 Zn 0.211 0.422 0.087
Zn4 Zn 0.789 0.578 0.913

2.
# ScZnP2O | Alexandria via LeMat-Bulk | PBE | optimized geometry
# Calculated volume: 84 Å³/f.u.
# D(E_F): 4.84 states/eV per cell
# Total DFT energy (no corrections): -4.75 eV per atom
# Spin magnetization: 0.000 μB/cell
# E_form (uncorrected): -0.0774 eV per atom
data_ScZnP2O
_chemical_formula_sum 'Sc1 Zn1 P2 O1'
_cell_length_a 4.763
_cell_length_b 4.763
_cell_length_c 3.696
_cell_angle_alpha 90.00
_cell_angle_beta 90.00
_cell_angle_gamma 90.00
_symmetry_space_group_name_H-M 'P 1'
_symmetry_Int_Tables_number 1
loop_
_symmetry_equiv_pos_as_xyz
'x,y,z'
loop_
_atom_site_label
_atom_site_type_symbol
_atom_site_fract_x
_atom_site_fract_y
_atom_site_fract_z
P1 P 0.500 0.000 0.000
P2 P 0.000 0.500 0.000
O1 O 0.000 0.000 0.500
Zn1 Zn 0.000 0.000 0.000
Sc1 Sc 0.500 0.500 0.500

3.
# Pm3Y2Cd3 | Alexandria via LeMat-Bulk | PBE | optimized geometry
# Formation energy: -0.238 eV per atom
# Calculated volume: 234 Å³/f.u.
# D(E_F): 11.30 states/eV per cell
# Total DFT energy (no corrections): -3.98 eV per atom
# Spin magnetization: 0.237 μB/cell
data_Pm3Y2Cd3
_chemical_formula_sum 'Pm3 Y2 Cd3'
_cell_length_a 3.782
_cell_length_b 5.488
_cell_length_c 11.736
_cell_angle_alpha 103.52
_cell_angle_beta 99.27
_cell_angle_gamma 90.00
_symmetry_space_group_name_H-M 'P 1'
_symmetry_Int_Tables_number 1
loop_
_symmetry_equiv_pos_as_xyz
'x,y,z'
loop_
_atom_site_label
_atom_site_type_symbol
_atom_site_fract_x
_atom_site_fract_y
_atom_site_fract_z
Pm1 Pm 0.500 0.000 0.000
Pm2 Pm 0.623 0.623 0.246
Pm3 Pm 0.377 0.377 0.754
Cd1 Cd 0.000 0.500 0.000
Cd2 Cd 0.880 0.880 0.761
Cd3 Cd 0.120 0.120 0.239
Y1 Y 0.734 0.234 0.468
Y2 Y 0.266 0.766 0.532

4.
# Li2ZrBiH | Alexandria via LeMat-Bulk | PBE | optimized geometry
# Calculated volume: 80 Å³/f.u.
# D(E_F): 1.87 states/eV per cell
# Total DFT energy (no corrections): -4.27 eV per atom
# Spin magnetization: 0.000 μB/cell
data_Li2ZrBiH
_chemical_formula_sum 'Li2 Zr1 Bi1 H1'
_cell_length_a 4.301
_cell_length_b 4.301
_cell_length_c 4.331
_cell_angle_alpha 90.00
_cell_angle_beta 90.00
_cell_angle_gamma 90.00
_symmetry_space_group_name_H-M 'P 1'
_symmetry_Int_Tables_number 1
loop_
_symmetry_equiv_pos_as_xyz
'x,y,z'
loop_
_atom_site_label
_atom_site_type_symbol
_atom_site_fract_x
_atom_site_fract_y
_atom_site_fract_z
Li1 Li 0.000 0.500 0.000
Li2 Li 0.500 0.000 0.000
Bi1 Bi 0.500 0.500 0.500
H1 H 0.000 0.000 0.000
Zr1 Zr 0.000 0.000 0.500

5.
# SiTeBr2 | Alexandria via LeMat-Bulk | PBE | optimized geometry
# Calculated volume: 102 Å³/f.u.
# D(E_F): 3.49 states/eV per cell
# Total DFT energy (no corrections): -2.38 eV per atom
# Spin magnetization: 0.000 μB/cell
# E_form (uncorrected): 0.6014 eV per atom
data_SiTeBr2
_chemical_formula_sum 'Si1 Te1 Br2'
_cell_length_a 5.237
_cell_length_b 5.237
_cell_length_c 5.237
_cell_angle_alpha 60.00
_cell_angle_beta 60.00
_cell_angle_gamma 60.00
_symmetry_space_group_name_H-M 'P 1'
_symmetry_Int_Tables_number 1
loop_
_symmetry_equiv_pos_as_xyz
'x,y,z'
loop_
_atom_site_label
_atom_site_type_symbol
_atom_site_fract_x
_atom_site_fract_y
_atom_site_fract_z
Si1 Si 0.000 0.000 0.000
Br1 Br 0.250 0.250 0.250
Br2 Br 0.750 0.750 0.750
Te1 Te 0.500 0.500 0.500

6.
# KLiDy2Te4 | Alexandria via LeMat-Bulk | PBE | optimized geometry
# Calculated volume: 262 Å³/f.u.
# Total DFT energy (no corrections): -4.42 eV per atom
# Spin magnetization: 0.000 μB/cell
# E_form (uncorrected): -1.3184 eV per atom
data_KLiDy2Te4
_chemical_formula_sum 'K2 Li2 Dy4 Te8'
_cell_length_a 4.467
_cell_length_b 7.788
_cell_length_c 15.695
_cell_angle_alpha 90.00
_cell_angle_beta 90.00
_cell_angle_gamma 106.67
_symmetry_space_group_name_H-M 'P 1'
_symmetry_Int_Tables_number 1
loop_
_symmetry_equiv_pos_as_xyz
'x,y,z'
loop_
_atom_site_label
_atom_site_type_symbol
_atom_site_fract_x
_atom_site_fract_y
_atom_site_fract_z
Dy1 Dy 0.633 0.267 0.436
Dy2 Dy 0.367 0.733 0.936
Dy3 Dy 0.367 0.733 0.564
Dy4 Dy 0.633 0.267 0.064
Te1 Te 0.268 0.535 0.109
Te2 Te 0.436 0.873 0.750
Te3 Te 0.564 0.127 0.250
Te4 Te 0.000 0.000 0.500
Te5 Te 0.000 0.000 0.000
Te6 Te 0.732 0.465 0.609
Te7 Te 0.732 0.465 0.891
Te8 Te 0.268 0.535 0.391
Li1 Li 0.837 0.673 0.750
Li2 Li 0.163 0.327 0.250
K1 K 0.886 0.772 0.250
K2 K 0.114 0.228 0.750

7.
# ScVPd2 | Alexandria via LeMat-Bulk | PBE | optimized geometry
# Formation energy: -0.454 eV per atom
# Calculated volume: 66 Å³/f.u.
# D(E_F): 4.03 states/eV per cell
# Total DFT energy (no corrections): -6.91 eV per atom
# Spin magnetization: 3.070 μB/cell
data_ScVPd2
_chemical_formula_sum 'Sc1 V1 Pd2'
_cell_length_a 3.610
_cell_length_b 4.280
_cell_length_c 4.280
_cell_angle_alpha 90.00
_cell_angle_beta 90.00
_cell_angle_gamma 90.00
_symmetry_space_group_name_H-M 'P 1'
_symmetry_Int_Tables_number 1
loop_
_symmetry_equiv_pos_as_xyz
'x,y,z'
loop_
_atom_site_label
_atom_site_type_symbol
_atom_site_fract_x
_atom_site_fract_y
_atom_site_fract_z
Sc1 Sc 0.500 0.000 0.000
Pd1 Pd 0.000 0.500 0.000
Pd2 Pd 0.000 0.000 0.500
V1 V 0.500 0.500 0.500

8.
# IrF | Alexandria via LeMat-Bulk | PBE | optimized geometry
# Calculated volume: 51 Å³/f.u.
# D(E_F): 9.38 states/eV per cell
# Total DFT energy (no corrections): -5.28 eV per atom
# Spin magnetization: 2.596 μB/cell
# E_form (uncorrected): 0.0825 eV per atom
data_IrF
_chemical_formula_sum 'Ir4 F4'
_cell_length_a 8.737
_cell_length_b 8.737
_cell_length_c 2.650
_cell_angle_alpha 90.00
_cell_angle_beta 90.00
_cell_angle_gamma 90.00
_symmetry_space_group_name_H-M 'P 1'
_symmetry_Int_Tables_number 1
loop_
_symmetry_equiv_pos_as_xyz
'x,y,z'
loop_
_atom_site_label
_atom_site_type_symbol
_atom_site_fract_x
_atom_site_fract_y
_atom_site_fract_z
Ir1 Ir 0.409 0.409 0.000
Ir2 Ir 0.091 0.909 0.500
Ir3 Ir 0.909 0.091 0.500
Ir4 Ir 0.591 0.591 0.000
F1 F 0.277 0.277 0.500
F2 F 0.777 0.223 0.000
F3 F 0.723 0.723 0.500
F4 F 0.223 0.777 0.000

9.
# Sm2YEr | Alexandria via LeMat-Bulk | PBE | optimized geometry
# Formation energy: 0.020 eV per atom
# Calculated volume: 130 Å³/f.u.
# D(E_F): 5.68 states/eV per cell
# Total DFT energy (no corrections): -5.10 eV per atom
# Spin magnetization: 0.000 μB/cell
data_Sm2YEr
_chemical_formula_sum 'Sm2 Y1 Er1'
_cell_length_a 3.587
_cell_length_b 3.587
_cell_length_c 10.117
_cell_angle_alpha 90.00
_cell_angle_beta 90.00
_cell_angle_gamma 90.00
_symmetry_space_group_name_H-M 'P 1'
_symmetry_Int_Tables_number 1
loop_
_symmetry_equiv_pos_as_xyz
'x,y,z'
loop_
_atom_site_label
_atom_site_type_symbol
_atom_site_fract_x
_atom_site_fract_y
_atom_site_fract_z
Er1 Er 0.500 0.500 0.000
Sm1 Sm 0.000 0.000 0.752
Sm2 Sm 0.000 0.000 0.248
Y1 Y 0.500 0.500 0.500

10.
# CaTl2Ir | Alexandria via LeMat-Bulk | PBE | optimized geometry
# Formation energy: -0.019 eV per atom
# Calculated volume: 97 Å³/f.u.
# D(E_F): 2.47 states/eV per cell
# Total DFT energy (no corrections): -3.92 eV per atom
# Spin magnetization: 0.000 μB/cell
data_CaTl2Ir
_chemical_formula_sum 'Ca1 Tl2 Ir1'
_cell_length_a 6.265
_cell_length_b 6.265
_cell_length_c 6.265
_cell_angle_alpha 148.69
_cell_angle_beta 129.84
_cell_angle_gamma 60.33
_symmetry_space_group_name_H-M 'P 1'
_symmetry_Int_Tables_number 1
loop_
_symmetry_equiv_pos_as_xyz
'x,y,z'
loop_
_atom_site_label
_atom_site_type_symbol
_atom_site_fract_x
_atom_site_fract_y
_atom_site_fract_z
Ca1 Ca 0.250 0.750 0.500
Tl1 Tl 0.959 0.959 0.000
Tl2 Tl 0.541 0.541 0.000
Ir1 Ir 0.750 0.250 0.500

11.
# Cd2SbPd2 | Alexandria via LeMat-Bulk | PBE | optimized geometry
# Calculated volume: 99 Å³/f.u.
# D(E_F): 5.42 states/eV per cell
# Total DFT energy (no corrections): -3.55 eV per atom
# Spin magnetization: 0.000 μB/cell
# E_form (uncorrected): -0.2794 eV per atom
data_Cd2SbPd2
_chemical_formula_sum 'Cd4 Sb2 Pd4'
_cell_length_a 7.219
_cell_length_b 7.219
_cell_length_c 3.799
_cell_angle_alpha 90.00
_cell_angle_beta 90.00
_cell_angle_gamma 90.00
_symmetry_space_group_name_H-M 'P 1'
_symmetry_Int_Tables_number 1
loop_
_symmetry_equiv_pos_as_xyz
'x,y,z'
loop_
_atom_site_label
_atom_site_type_symbol
_atom_site_fract_x
_atom_site_fract_y
_atom_site_fract_z
Sb1 Sb 0.500 0.500 0.000
Sb2 Sb 0.000 0.000 0.000
Cd1 Cd 0.150 0.650 0.500
Cd2 Cd 0.350 0.150 0.500
Cd3 Cd 0.650 0.850 0.500
Cd4 Cd 0.850 0.350 0.500
Pd1 Pd 0.648 0.148 0.000
Pd2 Pd 0.148 0.352 0.000
Pd3 Pd 0.852 0.648 0.000
Pd4 Pd 0.352 0.852 0.000

Which formula does entry 11 have?
Cd2SbPd2

The highest calculated volume belongs to which entry?
KLiDy2Te4

Which formula does entry 1 have?
Ba3Zn2Pd3